No. 1
Compound: CrC2Se
Source: the Alexandria database
Functional: PBE-GGA
Structure: relaxed

a = 5.661 Å, b = 5.661 Å, c = 5.661 Å
α = 130.60°, β = 130.60°, γ = 72.45°
Atoms (fractional coordinates):
Cr: 0.000 0.000 0.000
Cr: 0.750 0.250 0.500
C: 0.096 0.625 0.971
C: 0.375 0.346 0.471
C: 0.654 0.125 0.029
C: 0.875 0.904 0.529
Se: 0.250 0.750 0.500
Se: 0.500 0.500 0.000

Properties
**DOS(E_F)**: 0.4078 states/eV/atom
**Uncorrected formation energy**: 114 kJ per mole of atoms
**Spin magnetization**: 0.446 μB per atom

=====

No. 2
Compound: Na5TlAu
Source: the Alexandria database
Functional: PBE-GGA
Structure: relaxed

a = 9.374 Å, b = 9.374 Å, c = 6.250 Å
α = 108.85°, β = 108.85°, γ = 51.86°
Atoms (fractional coordinates):
Na: 0.057 0.287 0.924
Na: 0.148 0.852 0.750
Na: 0.287 0.057 0.424
Na: 0.386 0.389 0.887
Na: 0.389 0.386 0.387
Na: 0.611 0.614 0.613
Na: 0.614 0.611 0.113
Na: 0.713 0.943 0.576
Na: 0.852 0.148 0.250
Na: 0.943 0.713 0.076
Tl: 0.000 0.500 0.500
Tl: 0.500 0.000 0.000
Au: 0.259 0.741 0.250
Au: 0.741 0.259 0.750

Properties
**E_form**: -0.16 eV/atom
**DOS(E_F)**: 0.3484 states/eV/atom
**Spin magnetization**: 0.000 μB per atom

=====

No. 3
Compound: SrZn2W
Source: the Alexandria database
Functional: PBE-GGA
Structure: relaxed

a = 4.878 Å, b = 4.878 Å, c = 4.878 Å
α = 60.00°, β = 60.00°, γ = 60.00°
Atoms (fractional coordinates):
Sr: 0.000 0.000 0.000
Zn: 0.250 0.250 0.250
Zn: 0.750 0.750 0.750
W: 0.500 0.500 0.500

Properties
**E_form**: 0.71 eV/atom
**DOS(E_F)**: 0.7204 states/eV/atom
**Spin magnetization**: 0.456 μB per atom
**Excess energy over the best structure of this formula in the dataset**: 335 meV per atom

=====

No. 4
Compound: Na4SnBi
Source: the Alexandria database
Functional: PBE-GGA
Structure: relaxed

a = 9.820 Å, b = 9.820 Å, c = 5.300 Å
α = 90.00°, β = 90.00°, γ = 139.75°
Atoms (fractional coordinates):
Na: 0.040 0.456 0.250
Na: 0.202 0.285 0.250
Na: 0.285 0.202 0.750
Na: 0.456 0.040 0.750
Na: 0.544 0.960 0.250
Na: 0.715 0.798 0.250
Na: 0.798 0.715 0.750
Na: 0.960 0.544 0.750
Sn: 0.125 0.875 0.250
Sn: 0.875 0.125 0.750
Bi: 0.376 0.624 0.750
Bi: 0.624 0.376 0.250

Properties
**E_form**: -0.23 eV/atom
**DOS(E_F)**: 0.2660 states/eV/atom
**Spin magnetization**: 0.000 μB per atom
**Excess energy over the best structure of this formula in the dataset**: 0 meV per atom

=====

No. 5
Compound: NaY3Ho2Se6
Source: the Alexandria database
Functional: PBE-GGA
Structure: relaxed

a = 9.149 Å, b = 9.149 Å, c = 8.213 Å
α = 103.00°, β = 103.00°, γ = 25.73°
Atoms (fractional coordinates):
Na: 0.000 0.000 0.000
Y: 0.000 0.000 0.500
Y: 0.336 0.336 0.175
Y: 0.664 0.664 0.825
Ho: 0.332 0.332 0.659
Ho: 0.668 0.668 0.341
Se: 0.166 0.166 0.583
Se: 0.168 0.168 0.085
Se: 0.497 0.497 0.748
Se: 0.503 0.503 0.252
Se: 0.832 0.832 0.915
Se: 0.834 0.834 0.417

Properties
**DOS(E_F)**: 0.3421 states/eV/atom
**Uncorrected formation energy**: -168 kJ per mole of atoms
**Spin magnetization**: 0.000 μB per atom

=====

No. 6
Compound: Sm8TlBi2
Source: the Alexandria database
Functional: PBE-GGA
Structure: relaxed

a = 10.084 Å, b = 10.084 Å, c = 7.299 Å
α = 97.49°, β = 97.49°, γ = 29.27°
Atoms (fractional coordinates):
Sm: 0.009 0.009 0.254
Sm: 0.215 0.215 0.854
Sm: 0.338 0.338 0.462
Sm: 0.406 0.406 0.006
Sm: 0.594 0.594 0.994
Sm: 0.662 0.662 0.538
Sm: 0.785 0.785 0.146
Sm: 0.991 0.991 0.746
Tl: 0.500 0.500 0.500
Bi: 0.177 0.177 0.279
Bi: 0.823 0.823 0.721

Properties
**E_form**: -0.30 eV/atom
**DOS(E_F)**: 1.1898 states/eV/atom
**Spin magnetization**: 0.000 μB per atom